! Ce2Ga6CoCu (PBE-GGA, optimized geometry); values from VASP
! space group	No. 225
! magnetization	2.3	μB/f.u.
! ΔH_f (0 K)	-0.260	eV/atom
! total DFT energy (no corrections)	-4.38	eV per atom
&SYSTEM
  ibrav = 0, nat = 10, ntyp = 4
/
ATOMIC_SPECIES
Ga 69.72 Ga.upf
Ce 140.12 Ce.upf
Cu 63.55 Cu.upf
Co 58.93 Co.upf
CELL_PARAMETERS angstrom
6.539 0.000 0.000
0.000 6.539 0.000
3.270 3.269 4.624
ATOMIC_POSITIONS crystal
Ga 0.248 0.752 0.000
Ga 0.752 0.752 0.000
Ga 0.752 0.752 0.496
Ga 0.248 0.248 0.504
Ga 0.752 0.248 0.000
Ga 0.248 0.248 0.000
Ce 0.250 0.750 0.500
Ce 0.750 0.250 0.500
Cu 0.500 0.500 0.000
Co 0.000 0.000 0.000

***

! CeCoCu2H8 (PBE-GGA, optimized geometry); values from VASP
! space group	No. 2
! magnetization	0.9	μB/f.u.
! total DFT energy (no corrections)	-4.18	eV per atom
&SYSTEM
  ibrav = 0, nat = 12, ntyp = 4
/
ATOMIC_SPECIES
Co 58.93 Co.upf
H 1.01 H.upf
Ce 140.12 Ce.upf
Cu 63.55 Cu.upf
CELL_PARAMETERS angstrom
4.464 0.041 0.004
-0.026 4.206 1.583
0.133 2.104 5.967
ATOMIC_POSITIONS crystal
Co 0.000 0.000 0.000
H 0.800 0.673 0.049
H 0.897 0.315 0.695
H 0.741 0.139 0.089
H 0.200 0.327 0.951
H 0.499 0.772 0.513
H 0.259 0.861 0.911
H 0.103 0.685 0.305
H 0.501 0.228 0.487
Ce 0.000 0.000 0.500
Cu 0.501 0.709 0.248
Cu 0.499 0.291 0.752